Compound: Sm7Rh2Pb2
Source: the Alexandria database
Functional: PBE
Structure: optimized geometry

a = 8.352 Å, b = 11.204 Å, c = 7.313 Å
α = 90.00°, β = 90.00°, γ = 90.00°
Space group Cmmm (No. 65)
Unique sites:
1 Sm 0.000 0.000 0.000 x2
2 Sm 0.000 0.500 0.231 x4
3 Sm 0.250 0.250 0.246 x8
4 Rh 0.000 0.283 0.000 x4
5 Pb 0.187 0.000 0.500 x4

As for the density: 8.118 Mg/m³. The formation energy is -0.40 eV per atom.

Compound: Sm8RhPb2
Source: the Alexandria database
Functional: PBE
Structure: optimized geometry

a = 19.578 Å, b = 4.999 Å, c = 7.013 Å
α = 90.00°, β = 102.63°, γ = 90.00°
Space group C2/m (No. 12)
Unique sites:
1 Sm 0.014 0.000 0.279 x4
2 Sm 0.091 0.500 0.981 x4
3 Sm 0.143 0.500 0.513 x4
4 Sm 0.215 0.000 0.831 x4
5 Rh 0.000 0.500 0.500 x2
6 Pb 0.183 0.000 0.270 x4

As for the density: 8.529 Mg/m³. The formation energy is -0.34 eV per atom.

Compound: Sm4RhPb2
Source: the Alexandria database
Functional: PBE
Structure: optimized geometry

a = 5.195 Å, b = 5.195 Å, c = 16.932 Å
α = 90.00°, β = 90.00°, γ = 90.00°
Space group I4/mmm (No. 139)
Unique sites:
1 Sm 0.000 0.000 0.176 x4
2 Sm 0.000 0.500 0.000 x4
3 Rh 0.000 0.000 0.000 x2
4 Pb 0.000 0.000 0.363 x4

As for the distance to the lowest polymorph of the same formula: 0.0779 eV per atom. As for the density: 8.131 Mg/m³. The formation energy is -0.41 eV per atom.

Compound: Sm4RhPb2
Source: the Alexandria database
Functional: PBE
Structure: optimized geometry

a = 6.837 Å, b = 6.817 Å, c = 9.331 Å
α = 90.00°, β = 104.79°, γ = 90.00°
Space group P2_1/m (No. 11)
Unique sites:
1 Sm 0.185 0.250 0.105 x2
2 Sm 0.244 0.750 0.374 x2
3 Sm 0.308 0.005 0.748 x4
4 Rh 0.465 0.250 0.379 x2
5 Pb 0.094 0.250 0.436 x2
6 Pb 0.308 0.750 0.044 x2

As for the distance to the lowest polymorph of the same formula: 0.0000 eV per atom. As for the density: 8.837 Mg/m³. The formation energy is -0.48 eV per atom.

Compound: Sm3RhPb
Source: the Alexandria database
Functional: PBE
Structure: optimized geometry

a = 10.212 Å, b = 14.697 Å, c = 4.088 Å
α = 90.00°, β = 90.00°, γ = 90.00°
Space group Cmmm (No. 65)
Unique sites:
1 Sm 0.000 0.178 0.000 x4
2 Sm 0.197 0.376 0.500 x8
3 Rh 0.250 0.250 0.000 x4
4 Pb 0.000 0.000 0.500 x2
5 Pb 0.000 0.500 0.000 x2

As for the distance to the lowest polymorph of the same formula: 0.0000 eV per atom. As for the density: 8.241 Mg/m³. The formation energy is -0.47 eV per atom.

Compound: Sm5Rh4Pb
Source: the Alexandria database
Functional: PBE
Structure: optimized geometry

a = 3.452 Å, b = 3.452 Å, c = 19.351 Å
α = 90.00°, β = 90.00°, γ = 90.00°
Space group P4/mmm (No. 123)
Unique sites:
1 Sm 0.000 0.000 0.000 x1
2 Sm 0.000 0.000 0.187 x2
3 Sm 0.000 0.000 0.371 x2
4 Rh 0.500 0.500 0.093 x2
5 Rh 0.500 0.500 0.280 x2
6 Pb 0.500 0.500 0.500 x1

As for the density: 9.871 Mg/m³. The formation energy is -0.67 eV per atom.